Entry 1:
# ZrMnTc2, optimized geometry, DFT PBE
data_ZrMnTc2
_space_group_name_H-M_alt 'I m m m'
_space_group_IT_number 71
_space_group_name_Hall '-I 2 2'
_cell_length_a 3.1555
_cell_length_b 4.5294
_cell_length_c 8.7473
_cell_angle_alpha 90.00
_cell_angle_beta 90.00
_cell_angle_gamma 90.00
loop_
_atom_site_label
_atom_site_type_symbol
_atom_site_fract_x
_atom_site_fract_y
_atom_site_fract_z
Zr1 Zr 0.0000 0.0000 0.0000
Mn1 Mn 0.0000 0.0000 0.5000
Tc1 Tc 0.0000 0.5000 0.2411
# calculated density	9.089	g/cm³
# calculated total energy	-76.56	eV per cell
# DFT formation energy	0.171	eV/f.u.

Entry 2:
# ZrMnTc2, optimized geometry, DFT PBE
data_ZrMnTc2
_space_group_name_H-M_alt 'P m m m'
_space_group_IT_number 47
_space_group_name_Hall '-P 2 2'
_cell_length_a 3.1984
_cell_length_b 4.3988
_cell_length_c 4.4641
_cell_angle_alpha 90.00
_cell_angle_beta 90.00
_cell_angle_gamma 90.00
loop_
_atom_site_label
_atom_site_type_symbol
_atom_site_fract_x
_atom_site_fract_y
_atom_site_fract_z
Zr1 Zr 0.0000 0.0000 0.0000
Mn1 Mn 0.5000 0.5000 0.0000
Tc1 Tc 0.0000 0.5000 0.5000
Tc2 Tc 0.5000 0.0000 0.5000
# calculated density	9.047	g/cm³
# calculated total energy	-38.43	eV per cell
# DFT formation energy	0.021	eV/f.u.

Entry 3:
# ZrMn9Tc2, optimized geometry, DFT PBE
data_ZrMn9Tc2
_space_group_name_H-M_alt 'R -3 m'
_space_group_IT_number 166
_space_group_name_Hall '-R 3 2"'
_cell_length_a 4.7268
_cell_length_b 4.7268
_cell_length_c 23.1394
_cell_angle_alpha 90.00
_cell_angle_beta 90.00
_cell_angle_gamma 120.00
loop_
_atom_site_label
_atom_site_type_symbol
_atom_site_fract_x
_atom_site_fract_y
_atom_site_fract_z
Zr1 Zr 0.0000 0.0000 0.0000
Mn1 Mn 0.0000 0.0000 0.3397
Mn2 Mn 0.0000 0.0000 0.5000
Mn3 Mn 0.0138 0.5069 0.9138
Tc1 Tc 0.0000 0.0000 0.1399
# calculated density	8.697	g/cm³
# calculated total energy	-336.73	eV per cell
# DFT formation energy	-0.436	eV/f.u.

Entry 4:
# ZrMnTc2, optimized geometry, DFT PBE
data_ZrMnTc2
_space_group_name_H-M_alt 'F -4 3 m'
_space_group_IT_number 216
_space_group_name_Hall 'F -4 2 3'
_cell_length_a 6.2972
_cell_length_b 6.2972
_cell_length_c 6.2972
_cell_angle_alpha 90.00
_cell_angle_beta 90.00
_cell_angle_gamma 90.00
loop_
_atom_site_label
_atom_site_type_symbol
_atom_site_fract_x
_atom_site_fract_y
_atom_site_fract_z
Zr1 Zr 0.0000 0.0000 0.0000
Mn1 Mn 0.2500 0.2500 0.2500
Tc1 Tc 0.0000 0.0000 0.5000
Tc2 Tc 0.2500 0.2500 0.7500
# calculated density	9.101	g/cm³
# calculated total energy	-153.81	eV per cell
# DFT formation energy	-0.002	eV/f.u.

Entry 5:
# ZrMnTc, optimized geometry, DFT PBE
data_ZrMnTc
_space_group_name_H-M_alt 'I 4 m m'
_space_group_IT_number 107
_space_group_name_Hall 'I 4 -2'
_cell_length_a 2.9999
_cell_length_b 2.9999
_cell_length_c 10.7294
_cell_angle_alpha 90.00
_cell_angle_beta 90.00
_cell_angle_gamma 90.00
loop_
_atom_site_label
_atom_site_type_symbol
_atom_site_fract_x
_atom_site_fract_y
_atom_site_fract_z
Zr1 Zr 0.0000 0.0000 0.0000
Mn1 Mn 0.0000 0.0000 0.6847
Tc1 Tc 0.0000 0.0000 0.3039
# calculated density	8.398	g/cm³
# calculated total energy	-56.28	eV per cell
# DFT formation energy	-0.055	eV/f.u.

Entry 6:
# Mn2Te, optimized geometry, DFT PBE
data_Mn2Te
_space_group_name_H-M_alt 'C m c m'
_space_group_IT_number 63
_space_group_name_Hall '-C 2c 2'
_cell_length_a 3.7307
_cell_length_b 13.1656
_cell_length_c 4.1632
_cell_angle_alpha 90.00
_cell_angle_beta 90.00
_cell_angle_gamma 90.00
loop_
_atom_site_label
_atom_site_type_symbol
_atom_site_fract_x
_atom_site_fract_y
_atom_site_fract_z
Mn1 Mn 0.0000 0.0804 0.2500
Mn2 Mn 0.0000 0.2603 0.7500
Te1 Te 0.0000 0.3911 0.2500
# calculated density	7.714	g/cm³
# calculated total energy	-83.08	eV per cell
# uncorrected formation energy	237	meV/atom

Entry 7:
# MnTe, optimized geometry, DFT PBE
data_MnTe
_space_group_name_H-M_alt 'P -3 m 1'
_space_group_IT_number 164
_space_group_name_Hall '-P 3 2"'
_cell_length_a 4.0523
_cell_length_b 4.0523
_cell_length_c 7.6247
_cell_angle_alpha 90.00
_cell_angle_beta 90.00
_cell_angle_gamma 120.00
loop_
_atom_site_label
_atom_site_type_symbol
_atom_site_fract_x
_atom_site_fract_y
_atom_site_fract_z
Mn1 Mn 0.3333 0.6667 0.1011
Te1 Te 0.3333 0.6667 0.7446
# calculated density	5.591	g/cm³
# calculated total energy	-24.61	eV per cell
# uncorrected formation energy	2	meV/atom

Entry 8:
# Mn4Te, optimized geometry, DFT PBE
data_Mn4Te
_space_group_name_H-M_alt 'P m -3 m'
_space_group_IT_number 221
_space_group_name_Hall '-P 4 2 3'
_cell_length_a 4.8521
_cell_length_b 4.8521
_cell_length_c 4.8521
_cell_angle_alpha 90.00
_cell_angle_beta 90.00
_cell_angle_gamma 90.00
loop_
_atom_site_label
_atom_site_type_symbol
_atom_site_fract_x
_atom_site_fract_y
_atom_site_fract_z
Mn1 Mn 0.0000 0.0000 0.0000
Mn2 Mn 0.0000 0.5000 0.5000
Te1 Te 0.5000 0.5000 0.5000
# calculated density	5.049	g/cm³
# calculated total energy	-33.76	eV per cell
# uncorrected formation energy	1213	meV/atom

Entry 9:
# MnTe, optimized geometry, DFT PBE
data_MnTe
_space_group_name_H-M_alt 'I m m a'
_space_group_IT_number 74
_space_group_name_Hall '-I 2b 2'
_cell_length_a 3.5020
_cell_length_b 4.0962
_cell_length_c 13.3525
_cell_angle_alpha 90.00
_cell_angle_beta 90.00
_cell_angle_gamma 90.00
loop_
_atom_site_label
_atom_site_type_symbol
_atom_site_fract_x
_atom_site_fract_y
_atom_site_fract_z
Mn1 Mn 0.0000 0.2500 0.0567
Te1 Te 0.0000 0.2500 0.6169
# calculated density	6.330	g/cm³
# calculated total energy	-48.43	eV per cell
# uncorrected formation energy	102	meV/atom

Entry 10:
# Mn2Te, optimized geometry, DFT PBE
data_Mn2Te
_space_group_name_H-M_alt 'P -3 m 1'
_space_group_IT_number 164
_space_group_name_Hall '-P 3 2"'
_cell_length_a 4.1158
_cell_length_b 4.1158
_cell_length_c 3.4592
_cell_angle_alpha 90.00
_cell_angle_beta 90.00
_cell_angle_gamma 120.00
loop_
_atom_site_label
_atom_site_type_symbol
_atom_site_fract_x
_atom_site_fract_y
_atom_site_fract_z
Mn1 Mn 0.3333 0.6667 0.1444
Te1 Te 0.0000 0.0000 0.5000
# calculated density	7.771	g/cm³
# calculated total energy	-20.08	eV per cell
# uncorrected formation energy	467	meV/atom

Entry 11:
# MnTe, optimized geometry, DFT PBE
data_MnTe
_space_group_name_H-M_alt 'C m c m'
_space_group_IT_number 63
_space_group_name_Hall '-C 2c 2'
_cell_length_a 3.4877
_cell_length_b 15.4517
_cell_length_c 3.4799
_cell_angle_alpha 90.00
_cell_angle_beta 90.00
_cell_angle_gamma 90.00
loop_
_atom_site_label
_atom_site_type_symbol
_atom_site_fract_x
_atom_site_fract_y
_atom_site_fract_z
Mn1 Mn 0.0000 0.2027 0.2500
Te1 Te 0.0000 0.3789 0.2500
# calculated density	6.465	g/cm³
# calculated total energy	-49.67	eV per cell
# uncorrected formation energy	-53	meV/atom

Entry 12:
# Mn2Te, optimized geometry, DFT PBE
data_Mn2Te
_space_group_name_H-M_alt 'C 1 2/m 1'
_space_group_IT_number 12
_space_group_name_Hall '-C 2y'
_cell_length_a 12.7636
_cell_length_b 3.4214
_cell_length_c 5.6427
_cell_angle_alpha 90.00
_cell_angle_beta 116.17
_cell_angle_gamma 90.00
loop_
_atom_site_label
_atom_site_type_symbol
_atom_site_fract_x
_atom_site_fract_y
_atom_site_fract_z
Mn1 Mn 0.0000 0.0000 0.2380
Mn2 Mn 0.1504 0.5000 0.1502
Te1 Te 0.1556 0.5000 0.6554
# calculated density	7.132	g/cm³
# calculated total energy	-83.10	eV per cell
# uncorrected formation energy	235	meV/atom

Entry 13:
# MnTe, optimized geometry, DFT PBE
data_MnTe
_space_group_name_H-M_alt 'P 63/m m c'
_space_group_IT_number 194
_space_group_name_Hall '-P 6c 2c'
_cell_length_a 4.0774
_cell_length_b 4.0774
_cell_length_c 4.9714
_cell_angle_alpha 90.00
_cell_angle_beta 90.00
_cell_angle_gamma 120.00
loop_
_atom_site_label
_atom_site_type_symbol
_atom_site_fract_x
_atom_site_fract_y
_atom_site_fract_z
Mn1 Mn 0.0000 0.0000 0.0000
Te1 Te 0.3333 0.6667 0.2500
# calculated density	8.470	g/cm³
# calculated total energy	-23.90	eV per cell
# uncorrected formation energy	181	meV/atom

Entry 14:
# MnTe, optimized geometry, DFT PBE
data_MnTe
_space_group_name_H-M_alt 'P 4/n m m'
_space_group_IT_number 129
_cell_length_a 3.4836
_cell_length_b 3.4836
_cell_length_c 7.4192
_cell_angle_alpha 90.00
_cell_angle_beta 90.00
_cell_angle_gamma 90.00
loop_
_space_group_symop_operation_xyz
'x,y,z'
'-x,-y,-z'
'-y+1/2,x,z'
'y+1/2,-x,-z'
'-x+1/2,-y+1/2,z'
'x+1/2,y+1/2,-z'
'y,-x+1/2,z'
'-y,x+1/2,-z'
'x+1/2,-y,-z'
'-x+1/2,y,z'
'-y,-x,-z'
'y,x,z'
'-x,y+1/2,-z'
'x,-y+1/2,z'
'y+1/2,x+1/2,-z'
'-y+1/2,-x+1/2,z'
loop_
_atom_site_label
_atom_site_type_symbol
_atom_site_fract_x
_atom_site_fract_y
_atom_site_fract_z
Mn1 Mn 0.2500 0.2500 0.0991
Te1 Te 0.2500 0.2500 0.7331
# calculated density	6.733	g/cm³
# calculated total energy	-24.82	eV per cell
# uncorrected formation energy	-51	meV/atom

Entry 15:
# MnTe, optimized geometry, DFT PBE
data_MnTe
_space_group_name_H-M_alt 'P 4/m'
_space_group_IT_number 83
_space_group_name_Hall '-P 4'
_cell_length_a 10.9628
_cell_length_b 10.9628
_cell_length_c 4.1967
_cell_angle_alpha 90.00
_cell_angle_beta 90.00
_cell_angle_gamma 90.00
loop_
_atom_site_label
_atom_site_type_symbol
_atom_site_fract_x
_atom_site_fract_y
_atom_site_fract_z
Mn1 Mn 0.0420 0.3813 0.0000
Mn2 Mn 0.1227 0.6828 0.5000
Te1 Te 0.1094 0.2549 0.5000
Te2 Te 0.1992 0.5614 0.0000
# calculated density	4.808	g/cm³
# calculated total energy	-97.65	eV per cell
# uncorrected formation energy	52	meV/atom

Computed values of total moment (unit: μB/atom) for the preceding records, in sequence: 0.4279 0.5300 0.0006 0.4971 0.3304 2.1881 1.6168 2.9216 1.6200 1.8429 1.6326 2.3961 0.0816 1.6130 1.7320.